VASP calculation (PBE) on a relaxed structure of Ca2AsS2.

Output
- Polymorph energy (0 for the lowest one): 28 meV per atom
- Raw formation energy: -5.894 eV per formula unit
- Crystal system: tetragonal

a = 5.4469 Å, b = 5.4469 Å, c = 8.6425 Å
α = 90.00°, β = 90.00°, γ = 90.00°
Space group I4/mmm (No. 139)
Inequivalent atoms, fractional coordinates:
Ca (0.0000, 0.5000, 0.2500) [4 per cell]
As (0.0000, 0.0000, 0.0000) [2 per cell]
S (0.0000, 0.0000, 0.3028) [4 per cell]